Entry 1:
First-principles (PBE) data for a relaxed structure of YTa2Be, as listed in Alexandria.

Calculated values
Calculated volume = 18.63 Å³ per atom
Energy above the most stable polymorph in this dataset = 0.0945 eV per atom
SG = C2/m (12)
Formation energy from the elements = 0.297 eV/atom

a b c (Å): 5.556 5.556 4.984
angles (deg): 72.76 72.76 30.59
Element x y z (fractional)
Ta (0.534, 0.534, 0.464)
Ta (0.966, 0.966, 0.036)
Y (0.750, 0.750, 0.750)
Be (0.250, 0.250, 0.250)

***

Entry 2:
First-principles (PBE) data for a relaxed structure of Y3TaBe, as listed in Alexandria.

Calculated values
Calculated volume = 26.85 Å³ per atom
Energy above the most stable polymorph in this dataset = 0.0000 eV per atom
SG = Pm-3m (221)
Formation energy from the elements = 0.791 eV/atom

a b c (Å): 5.120 5.120 5.120
angles (deg): 90.00 90.00 90.00
Site moments in Bohr magnetons follow the coordinates.
Element x y z (fractional)
Ta (0.500, 0.500, 0.500)  1.23
Y (0.000, 0.000, 0.500)  0.07
Y (0.000, 0.500, 0.000)  0.04
Y (0.500, 0.000, 0.000)  0.11
Be (0.000, 0.000, 0.000)  0.03